<1>
DFT (PBE with a Hubbard U) results for a relaxed structure of VCI2O.

Unit cell a=5.2576 b=5.2576 c=3.4345 alpha=90.00 beta=90.00 gamma=90.00
Closest atoms and distances in Å follow each position.
Space group P4/mmm (No. 123)
Symmetry-distinct sites (fractional):
V (0.0000, 0.0000, 0.0000) [1 per cell]  8 I 3.14, 2 V 3.43
C (0.5000, 0.5000, 0.5000) [1 per cell]  2 O 1.72
I (0.0000, 0.5000, 0.5000) [2 per cell]  2 C 2.63
O (0.5000, 0.5000, 0.0000) [1 per cell]  2 C 1.72

***

<2>
DFT (PBE with a Hubbard U) results for a relaxed structure of VCI2O.

Unit cell a=5.6054 b=5.6054 c=3.6793 alpha=90.00 beta=90.00 gamma=90.00
Closest atoms and distances in Å follow each position.
Space group P4/mmm (No. 123)
Symmetry-distinct sites (fractional):
V (0.0000, 0.0000, 0.0000) [1 per cell]  2 O 1.84
C (0.5000, 0.5000, 0.5000) [1 per cell]  8 I 3.35, 2 C 3.68
I (0.0000, 0.5000, 0.0000) [2 per cell]  2 V 2.80
O (0.0000, 0.0000, 0.5000) [1 per cell]  2 V 1.84

***

Top of the stability list: <2>, leading by 0.520 eV/atom.